Material: Tb3PrMg
Method: DFT, PBE
State: relaxed

Cell: 3.7296 6.8061 12.8534 Å, 86.85 89.98 74.10°
With the nearest neighbours (Å) after each atom.
Element x y z (fractional)
Tb 0.0365 0.4266 0.1873  2 Mg 3.33, 5 Tb 3.51-3.59, 3 Pr 3.57-3.65
Tb 0.1489 0.2026 0.4437  4 Mg 3.27-3.32, 3 Tb 3.49-3.53, 2 Pr 3.60
Tb 0.3668 0.7674 0.0242  9 Tb 3.51-3.73, 3 Pr 3.68-3.76
Tb 0.6332 0.2326 0.9758  9 Tb 3.51-3.73, 3 Pr 3.68-3.76
Tb 0.8511 0.7974 0.5563  4 Mg 3.27-3.32, 3 Tb 3.49-3.53, 2 Pr 3.60
Tb 0.9635 0.5734 0.8127  2 Mg 3.33, 5 Tb 3.51-3.59, 3 Pr 3.57-3.65
Pr 0.2335 0.0322 0.7569  2 Mg 3.38, 8 Tb 3.57-3.76, 2 Pr 3.73
Pr 0.7665 0.9678 0.2431  2 Mg 3.38, 8 Tb 3.57-3.76, 2 Pr 3.73
Mg 0.4459 0.6087 0.3755  6 Tb 3.27-3.33, 2 Pr 3.38, 1 Mg 3.43
Mg 0.5541 0.3913 0.6245  6 Tb 3.27-3.33, 2 Pr 3.38, 1 Mg 3.43

Results
space group = No. 2
calculated total energy = -40.686 eV per cell

Material: ZrFeSi4
Method: DFT, PBE
State: relaxed

Cell: 4.9665 4.9665 4.9665 Å, 60.00 60.00 60.00°
With the nearest neighbours (Å) after each atom.
Element x y z (fractional)
Zr 0.0000 0.0000 0.0000  12 Si 2.91, 4 Fe 3.04
Fe 0.2500 0.2500 0.2500  12 Si 2.91, 4 Zr 3.04
Si 0.1281 0.6240 0.6240  6 Si 2.46-2.50
Si 0.6240 0.1281 0.6240  6 Si 2.46-2.50
Si 0.6240 0.6240 0.1281  6 Si 2.46-2.50
Si 0.6240 0.6240 0.6240  6 Si 2.46-2.50

Results
ΔE_f (raw) = 0.4 eV/f.u.
space group = No. 216

Material: Li2CdOs
Method: DFT, PBE
State: relaxed

Cell: 5.3988 5.3988 5.3988 Å, 151.10 128.88 59.79°
With the nearest neighbours (Å) after each atom.
Element x y z (fractional)
Li 0.0000 0.0000 0.0000  4 Li 2.56-2.69, 2 Os 2.70, 4 Cd 2.70
Li 0.7672 0.2672 0.5000  4 Li 2.56-2.69, 2 Cd 2.66, 4 Os 2.70
Cd 0.5225 0.5225 0.0000  6 Li 2.66-2.70, 2 Cd 2.69, 2 Os 2.89
Os 0.2494 0.7494 0.5000  2 Os 2.69, 6 Li 2.70, 2 Cd 2.89

Results
space group = No. 44
calculated total energy = -14.886 eV per cell